1.
The following is a PBE calculation of FeAsOsBr2 after structural relaxation, from Alexandria via LeMat-Bulk.

Lattice parameters (Å, degrees): 4.731 4.731 4.953 90.00 90.00 90.00
Sites, in units of the cell vectors:
As (0.000, 0.000, 0.500)
Fe (0.000, 0.000, 0.000)
Br (0.000, 0.500, 0.000)
Br (0.500, 0.000, 0.000)
Os (0.500, 0.500, 0.500)

Results
As for the density of states at the Fermi level: 6.7 states/eV per cell. For the formation energy (no corrections), the calculation gives 1.38 eV/atom. The crystal system is tetragonal. Its volume is 110.88 Å³ per cell. Its space-group type is P4/mmm.

***

2.
The following is a PBE calculation of FeAsOsBr2 after structural relaxation, from Alexandria via LeMat-Bulk.

Lattice parameters (Å, degrees): 5.231 5.231 4.663 90.00 90.00 90.00
Sites, in units of the cell vectors:
Br (0.500, 0.000, 0.000)
Br (0.000, 0.500, 0.000)
As (0.000, 0.000, 0.500)
Os (0.000, 0.000, 0.000)
Fe (0.500, 0.500, 0.500)

Results
As for the density of states at the Fermi level: 7.9 states/eV per cell. For the formation energy (no corrections), the calculation gives 1.03 eV/atom. The crystal system is tetragonal. Its volume is 127.58 Å³ per cell. Its space-group type is P4/mmm.

***

3.
The following is a PBE calculation of FeAs2OsBr after structural relaxation, from Alexandria via LeMat-Bulk.

Lattice parameters (Å, degrees): 4.711 4.711 5.415 90.00 90.00 90.00
Sites, in units of the cell vectors:
Fe (0.500, 0.500, 0.500)
As (0.500, 0.000, 0.000)
As (0.000, 0.500, 0.000)
Os (0.000, 0.000, 0.000)
Br (0.000, 0.000, 0.500)

Results
As for the density of states at the Fermi level: 9.7 states/eV per cell. For the formation energy (no corrections), the calculation gives 1.02 eV/atom. The crystal system is tetragonal. Its volume is 120.18 Å³ per cell. Its space-group type is P4/mmm.

***

4.
The following is a PBE calculation of FeAs2PBr after structural relaxation, from Alexandria via LeMat-Bulk.

Lattice parameters (Å, degrees): 4.772 4.772 4.974 90.00 90.00 90.00
Sites, in units of the cell vectors:
Fe (0.500, 0.500, 0.500)
Br (0.000, 0.000, 0.500)
As (0.500, 0.000, 0.000)
As (0.000, 0.500, 0.000)
P (0.000, 0.000, 0.000)

Results
As for the density of states at the Fermi level: 6.5 states/eV per cell. For the formation energy (no corrections), the calculation gives 1.01 eV/atom. The crystal system is tetragonal. Its volume is 113.27 Å³ per cell. Its space-group type is P4/mmm.

***

5.
The following is a PBE calculation of FeAs2PBr after structural relaxation, from Alexandria via LeMat-Bulk.

Lattice parameters (Å, degrees): 4.498 4.498 4.958 90.00 90.00 90.00
Sites, in units of the cell vectors:
As (0.500, 0.000, 0.000)
As (0.000, 0.500, 0.000)
Br (0.000, 0.000, 0.500)
Fe (0.000, 0.000, 0.000)
P (0.500, 0.500, 0.500)

Results
As for the density of states at the Fermi level: 5.4 states/eV per cell. For the formation energy (no corrections), the calculation gives 0.72 eV/atom. The crystal system is tetragonal. Its volume is 100.31 Å³ per cell. Its space-group type is P4/mmm.

***

6.
The following is a PBE calculation of FeAsPbBr2 after structural relaxation, from Alexandria via LeMat-Bulk.

Lattice parameters (Å, degrees): 5.088 5.088 4.894 90.00 90.00 90.00
Sites, in units of the cell vectors:
Fe (0.000, 0.000, 0.000)
Br (0.000, 0.500, 0.000)
Br (0.500, 0.000, 0.000)
As (0.000, 0.000, 0.500)
Pb (0.500, 0.500, 0.500)

Results
As for the density of states at the Fermi level: 5.1 states/eV per cell. For the formation energy (no corrections), the calculation gives 0.06 eV/atom. The crystal system is tetragonal. Its volume is 126.70 Å³ per cell. Its space-group type is P4/mmm.

***

> Which formula does entry 4 have?

FeAs2PBr